(1)
Li7NiO4F2 | GGA+U | relaxed

Unit cell a=5.2442 b=5.6715 c=10.0960 alpha=74.68 beta=100.48 gamma=113.47
With the nearest neighbours (Å) after each atom.
Sites, in units of the cell vectors:
Li 0.5126 0.2854 0.0268  1 F 1.91, 2 O 1.99-2.01
F 0.1894 0.4522 0.2753  4 Li 1.87-2.02
O 0.7386 0.7934 0.3778  4 Li 1.85-2.01, 1 Ni 1.94
Li 0.9881 0.4582 0.8690  2 F 1.89-1.93, 2 O 2.09-2.11
F 0.2967 0.3709 0.8605  4 Li 1.84-2.00
Li 0.5375 0.8509 0.9342  2 O 1.91-2.09, 1 F 1.93
O 0.6962 0.6080 0.1070  3 Li 1.86-2.01, 1 Ni 1.89
Li 0.1138 0.0420 0.7875  2 O 1.95-1.99, 2 F 2.00
Li 0.9986 0.8393 0.5461  3 O 1.94-2.11, 1 F 1.94
O 0.1610 0.7933 0.9567  1 Ni 1.88, 4 Li 1.91-2.11
O 0.2957 0.6882 0.5290  5 Li 1.90-2.11, 1 Ni 1.94
Li 0.9941 0.4759 0.0966  1 F 1.91, 3 O 1.93-2.01
Li 0.5009 0.5913 0.7150  3 F 1.84-1.94, 1 O 2.04
Ni 0.4736 0.4822 0.4835  4 O 1.89-1.94
O 0.2878 0.0256 0.2043  1 Ni 1.87, 4 Li 1.95-2.07
Li 0.9817 0.3612 0.5830  3 O 1.92-1.97, 1 F 2.07
O 0.8121 0.1513 0.0323  1 Ni 1.89, 4 Li 1.93-2.09
Li 0.4981 0.9589 0.3878  4 O 1.88-2.00
F 0.8174 0.5339 0.6848  4 Li 1.90-2.07
Li 0.5271 0.8260 0.1806  4 O 2.07-2.24, 1 F 2.26
Ni 0.0089 0.9220 0.0644  4 O 1.87-1.89
Li 0.9763 0.6086 0.3513  3 O 2.01-2.23, 1 F 2.02
O 0.2237 0.1743 0.5953  4 Li 1.88-1.99, 1 Ni 1.93
F 0.6975 0.9331 0.7628  4 Li 1.86-2.00
Li 0.5037 0.3665 0.2531  3 O 1.86-1.95, 1 F 1.96
Li 0.0146 0.0884 0.2903  2 O 1.85-1.99, 1 F 1.87
Li 0.4922 0.0289 0.6025  1 F 1.86, 3 O 1.88-2.06
O 0.6620 0.2901 0.4424  1 Ni 1.89, 5 Li 1.91-2.03

Output
M_tot: 3.888 Bohr magnetons per cell
Raw total energy: -4.74 eV/atom
ΔE to the lowest computed polymorph: 0 meV per atom


(2)
Li4Ni3O6F | GGA+U | relaxed

Unit cell a=5.0523 b=5.0523 c=6.3816 alpha=83.75 beta=83.75 gamma=48.28
With the nearest neighbours (Å) after each atom.
Sites, in units of the cell vectors:
Li 0.5832 0.5832 0.2830  4 O 1.99-2.08, 1 F 2.04
F 0.5000 0.5000 0.0000  4 Li 2.04-2.11, 2 Ni 2.07
O 0.9437 0.9437 0.6976  3 Ni 1.91-2.06, 2 Li 2.08
O 0.7989 0.7989 0.1512  2 Ni 1.91-1.99, 4 Li 2.06-2.09
Li 0.4168 0.4168 0.7170  4 O 1.99-2.08, 1 F 2.04
O 0.6619 0.6619 0.5599  3 Ni 1.90-2.07, 2 Li 1.99-2.04
Li 0.2814 0.2814 0.1411  5 O 2.04-2.20, 1 F 2.11
Ni 0.0000 0.0000 0.0000  4 O 1.99-2.06, 2 F 2.07
O 0.2011 0.2011 0.8488  2 Ni 1.91-1.99, 4 Li 2.06-2.09
Li 0.7186 0.7186 0.8589  5 O 2.04-2.20, 1 F 2.11
Ni 0.1419 0.1419 0.5722  6 O 1.90-2.07
O 0.3382 0.3382 0.4400  3 Ni 1.90-2.07, 2 Li 1.99-2.04
O 0.0563 0.0563 0.3024  3 Ni 1.91-2.06, 2 Li 2.08
Ni 0.8581 0.8581 0.4278  6 O 1.90-2.07

Output
M_tot: 2.990 Bohr magnetons per cell
Raw total energy: -4.81 eV/atom


(3)
Li3NiO2F | GGA+U | relaxed

Unit cell a=3.5919 b=8.5844 c=9.5415 alpha=90.00 beta=90.00 gamma=90.00
With the nearest neighbours (Å) after each atom.
Sites, in units of the cell vectors:
O 0.5000 0.3994 0.1134  3 Li 1.95-2.08, 2 Ni 1.96-2.00
Li 0.0000 0.0960 0.8316  1 F 1.88, 3 O 1.92-2.08
Li 0.5000 0.8821 0.9169  1 O 1.92, 2 F 1.97
O 0.5000 0.1488 0.8839  4 Li 1.92-2.00, 1 Ni 1.93
Li 0.5000 0.4040 0.3316  1 F 1.88, 3 O 1.92-2.08
O 0.0000 0.3512 0.3839  4 Li 1.92-2.00, 1 Ni 1.93
Li 0.0000 0.3416 0.1747  1 F 1.88, 3 O 1.95-2.00
Li 0.0000 0.3821 0.5831  1 O 1.92, 2 F 1.97
Li 0.0000 0.6584 0.8253  1 F 1.88, 3 O 1.95-2.00
F 0.5000 0.6231 0.3331  4 Li 1.88-1.97
O 0.0000 0.8994 0.3866  3 Li 1.95-2.08, 2 Ni 1.96-2.00
F 0.0000 0.8769 0.8331  4 Li 1.88-1.97
O 0.0000 0.1006 0.6134  3 Li 1.95-2.08, 2 Ni 1.96-2.00
F 0.5000 0.3769 0.6669  4 Li 1.88-1.97
Ni 0.5000 0.6273 0.0947  3 O 1.93-2.00
O 0.5000 0.8512 0.1161  4 Li 1.92-2.00, 1 Ni 1.93
Li 0.5000 0.5960 0.6684  1 F 1.88, 3 O 1.92-2.08
Ni 0.5000 0.3727 0.9053  3 O 1.93-2.00
F 0.0000 0.1231 0.1669  4 Li 1.88-1.97
Ni 0.0000 0.1273 0.4053  3 O 1.93-2.00
Li 0.5000 0.1179 0.0831  1 O 1.92, 2 F 1.97
Li 0.5000 0.8416 0.3253  1 F 1.88, 3 O 1.95-2.00
Li 0.0000 0.6179 0.4169  1 O 1.92, 2 F 1.97
O 0.0000 0.6488 0.6161  4 Li 1.92-2.00, 1 Ni 1.93
Li 0.5000 0.1584 0.6747  1 F 1.88, 3 O 1.95-2.00
Ni 0.0000 0.8727 0.5947  3 O 1.93-2.00
Li 0.0000 0.9040 0.1684  1 F 1.88, 3 O 1.92-2.08
O 0.5000 0.6006 0.8866  3 Li 1.95-2.08, 2 Ni 1.96-2.00

Output
M_tot: 7.999 Bohr magnetons per cell
Raw total energy: -4.66 eV/atom


(4)
Li3NiO2F2 | GGA+U | relaxed

Unit cell a=4.9806 b=5.0163 c=5.8637 alpha=90.00 beta=90.00 gamma=107.70
With the nearest neighbours (Å) after each atom.
Sites, in units of the cell vectors:
F 0.4954 0.7500 0.3780  5 Li 2.00-2.14, 1 Ni 2.14
F 0.5046 0.2500 0.6220  5 Li 2.00-2.14, 1 Ni 2.14
Li 0.2500 0.0000 0.8834  4 O 2.02-2.17, 2 F 2.14
Li 0.7500 0.0000 0.1166  4 O 2.02-2.17, 2 F 2.14
F 0.0046 0.2500 0.3780  5 Li 2.00-2.14, 1 Ni 2.14
Li 0.7500 0.5000 0.3657  4 F 2.04-2.10, 2 O 2.08
O 0.5152 0.7282 0.8868  2 Ni 1.87-1.96, 3 Li 2.02-2.09
Li 0.2500 0.0000 0.3605  4 F 2.00-2.14, 2 O 2.09
O 0.0152 0.7282 0.1132  2 Ni 1.87-1.96, 3 Li 2.02-2.09
Li 0.2500 0.5000 0.6343  4 F 2.04-2.10, 2 O 2.08
O 0.9848 0.2718 0.8868  2 Ni 1.87-1.96, 3 Li 2.02-2.09
O 0.4848 0.2718 0.1132  2 Ni 1.87-1.96, 3 Li 2.02-2.09
Ni 0.2500 0.5000 0.1105  4 O 1.87-1.96
Ni 0.7500 0.5000 0.8895  4 O 1.87-1.96
F 0.9954 0.7500 0.6220  5 Li 2.00-2.14, 1 Ni 2.14
Li 0.7500 0.0000 0.6395  4 F 2.00-2.14, 2 O 2.09

Output
M_tot: 2.000 Bohr magnetons per cell
Raw total energy: -4.78 eV/atom


(5)
Li4Ni2OF7 | GGA+U | relaxed

Unit cell a=5.8632 b=5.9593 c=5.9593 alpha=119.78 beta=119.19 gamma=60.81
With the nearest neighbours (Å) after each atom.
Sites, in units of the cell vectors:
O 0.2588 0.7698 0.2302  2 Ni 1.92, 1 Li 1.98
Ni 0.4898 0.9927 0.4941  1 O 1.92, 5 F 2.01-2.07
Li 0.8508 0.8897 0.1103  3 F 1.92, 1 O 1.98
F 0.2548 0.2542 0.7458  2 Li 1.95-2.12, 2 Ni 2.04
F 0.2721 0.7180 0.7449  3 Li 1.93-2.03, 1 Ni 2.03
Li 0.1339 0.1127 0.8873  4 F 1.93-1.96
Li 0.0032 0.5037 0.4963  6 F 2.03-2.12
Li 0.5325 0.4789 0.5211  5 F 1.99-2.03
Ni 0.4898 0.5059 0.0073  1 O 1.92, 5 F 2.01-2.07
F 0.7284 0.2465 0.7535  2 Li 1.96-1.99, 2 Ni 2.07
F 0.7344 0.7468 0.7186  3 Li 1.92-2.06, 1 Ni 2.01
F 0.2721 0.2551 0.2820  3 Li 1.93-2.03, 1 Ni 2.03
F 0.7344 0.2814 0.2532  3 Li 1.92-2.06, 1 Ni 2.01
F 0.7450 0.7443 0.2557  2 Li 1.92-2.05, 2 Ni 2.07

Output
M_tot: 5.000 Bohr magnetons per cell
Raw total energy: -4.58 eV/atom


(6)
Li3Ni8O4F12 | GGA+U | relaxed

Unit cell a=6.0254 b=6.0254 c=10.2862 alpha=70.81 beta=70.81 gamma=58.15
With the nearest neighbours (Å) after each atom.
Sites, in units of the cell vectors:
Ni 0.2463 0.7442 0.2548  4 F 2.00-2.10, 2 O 2.07-2.08
O 0.8781 0.8781 0.3883  1 Li 2.02, 4 Ni 2.03-2.07
F 0.8928 0.3564 0.3674  1 Li 2.02, 3 Ni 2.05-2.23
F 0.6170 0.6170 0.1430  1 Li 1.90, 2 Ni 2.00
F 0.6318 0.1328 0.1343  1 Li 1.85, 2 Ni 1.98-2.01
F 0.3564 0.8928 0.3674  1 Li 2.02, 3 Ni 2.05-2.23
F 0.8748 0.8748 0.8672  1 Li 1.98, 3 Ni 2.07-2.08
F 0.1328 0.6318 0.1343  1 Li 1.85, 2 Ni 1.98-2.01
Ni 0.2558 0.7537 0.7452  4 F 2.00-2.10, 2 O 2.07-2.08
Ni 0.2586 0.2586 0.2377  5 F 1.98-2.07, 1 O 2.03
F 0.8672 0.3682 0.8657  1 Li 1.85, 2 Ni 1.98-2.01
Ni 0.5000 0.0000 0.5000  4 O 2.02-2.03, 2 F 2.23
O 0.1219 0.1219 0.6117  1 Li 2.02, 4 Ni 2.03-2.07
F 0.3830 0.3830 0.8570  1 Li 1.90, 2 Ni 2.00
Ni 0.7442 0.2463 0.2548  4 F 2.00-2.10, 2 O 2.07-2.08
O 0.6405 0.6405 0.6289  5 Ni 2.02-2.08
Ni 0.7414 0.7414 0.7623  5 F 1.98-2.07, 1 O 2.03
F 0.3682 0.8672 0.8657  1 Li 1.85, 2 Ni 1.98-2.01
Li 0.0000 0.0000 0.5000  4 F 2.02, 2 O 2.02
F 0.6436 0.1072 0.6326  1 Li 2.02, 3 Ni 2.05-2.23
Ni 0.0000 0.5000 0.5000  4 O 2.02-2.03, 2 F 2.23
O 0.3595 0.3595 0.3711  5 Ni 2.02-2.08
F 0.1252 0.1252 0.1328  1 Li 1.98, 3 Ni 2.07-2.08
Ni 0.7537 0.2558 0.7452  4 F 2.00-2.10, 2 O 2.07-2.08
Li 0.8118 0.8118 0.0739  4 F 1.85-1.98
Li 0.1882 0.1882 0.9261  4 F 1.85-1.98
F 0.1072 0.6436 0.6326  1 Li 2.02, 3 Ni 2.05-2.23

Output
M_tot: 14.979 Bohr magnetons per cell
Raw total energy: -4.48 eV/atom


(7)
Li7NiO4F2 | GGA+U | relaxed

Unit cell a=5.1807 b=5.6529 c=10.7505 alpha=111.17 beta=89.60 gamma=108.56
With the nearest neighbours (Å) after each atom.
Sites, in units of the cell vectors:
F 0.1671 0.1548 0.9319  4 Li 1.84-1.93
F 0.6902 0.2164 0.7933  4 Li 1.87-1.96
O 0.7659 0.1742 0.3784  2 Ni 1.90-1.91, 3 Li 1.98-2.11
Li 0.0779 0.0023 0.3556  1 F 1.95, 4 O 2.00-2.18
Li 0.9478 0.5782 0.1479  3 O 1.88-2.02
Ni 0.5314 0.9146 0.4405  4 O 1.86-1.94
Li 0.5399 0.8297 0.6932  2 F 1.92-1.94, 2 O 1.94-2.01
Li 0.5376 0.3842 0.6990  2 O 1.91-1.95, 2 F 1.93-2.06
Li 0.0515 0.8488 0.5449  3 O 1.92-1.99, 1 F 2.00
Li 0.0172 0.0789 0.0824  2 F 1.86-1.92, 2 O 2.00-2.06
O 0.3175 0.6048 0.7897  5 Li 1.83-2.01
O 0.3328 0.1562 0.5263  5 Li 1.91-2.03, 1 Ni 1.94
Li 0.0485 0.4781 0.3515  1 F 1.94, 3 O 1.98-2.15
O 0.7779 0.7089 0.3845  1 Ni 1.94, 5 Li 1.95-2.15
O 0.3000 0.7395 0.2441  1 Ni 1.87, 2 Li 1.88-2.05
Li 0.0700 0.3455 0.8412  2 F 1.86-1.87, 1 O 1.87
O 0.6784 0.2004 0.0995  1 Ni 1.91, 5 Li 1.99-2.09
Li 0.1433 0.4199 0.5886  3 O 1.88-2.09
Li 0.5509 0.4305 0.4508  4 O 2.00-2.04
O 0.7436 0.7243 0.0669  4 Li 1.91-2.00, 1 Ni 1.93
Li 0.5568 0.8252 0.9484  3 O 1.87-2.05
Li 0.5598 0.3332 0.9696  2 F 1.93-1.96, 2 O 1.97-1.99
Ni 0.5981 0.9691 0.1981  4 O 1.87-1.93
Li 0.0939 0.8062 0.8124  2 F 1.82-1.84, 1 O 1.83
F 0.8388 0.6924 0.6694  3 Li 1.82-2.00
F 0.2226 0.2220 0.2496  4 Li 1.84-1.95
O 0.3271 0.6796 0.5180  1 Ni 1.86, 5 Li 1.88-2.04
Li 0.5135 0.4819 0.2242  1 F 1.84, 2 O 1.95-2.05

Output
M_tot: 4.000 Bohr magnetons per cell
Raw total energy: -4.73 eV/atom
ΔE to the lowest computed polymorph: 12 meV per atom


Q: The highest M_tot belongs to which entry?
A: Li3Ni8O4F12


Q: Which value of raw total energy does entry 3 give?
A: -4.66 eV/atom